1.
{"formula": "TiTe2Au", "functional": "PBE", "state": "relaxed", "lattice_angstrom": [[6.860, 0.000, 0.000], [0.000, 7.691, -3.551], [0.000, -0.280, 8.659]], "species": ["Ti", "Ti", "Ti", "Ti", "Te", "Te", "Te", "Te", "Te", "Te", "Te", "Te", "Au", "Au", "Au", "Au"], "fractional_positions": [[0.457, 0.178, 0.458], [0.957, 0.322, 0.542], [0.543, 0.822, 0.542], [0.043, 0.678, 0.458], [0.719, 0.100, 0.187], [0.219, 0.400, 0.813], [0.281, 0.900, 0.813], [0.781, 0.600, 0.187], [0.803, 0.670, 0.713], [0.303, 0.830, 0.287], [0.197, 0.330, 0.287], [0.697, 0.170, 0.713], [0.653, 0.447, 0.385], [0.153, 0.053, 0.615], [0.347, 0.553, 0.615], [0.847, 0.947, 0.385]], "energy_ev_per_atom": -4.778, "dos_ef_per_ev_fu": 1.5, "formation_energy_uncorrected_ev_per_atom": -0.41, "polymorph_energy_ev_per_atom": 0.000, "spacegroup": "P2_1/c"}

2.
{"formula": "TiTe3Au", "functional": "PBE", "state": "relaxed", "lattice_angstrom": [[5.375, 0.000, 0.000], [0.000, 5.375, 0.000], [0.000, 0.000, 5.375]], "species": ["Te", "Te", "Te", "Au", "Ti"], "fractional_positions": [[0.000, 0.500, 0.000], [0.000, 0.000, 0.500], [0.500, 0.000, 0.000], [0.000, 0.000, 0.000], [0.500, 0.500, 0.500]], "energy_ev_per_atom": -3.401, "dos_ef_per_ev_fu": 10.9, "formation_energy_uncorrected_ev_per_atom": 0.72, "polymorph_energy_ev_per_atom": 0.984, "spacegroup": "Pm-3m"}

3.
{"formula": "TiTe8Au2", "functional": "PBE", "state": "relaxed", "lattice_angstrom": [[-6.736, 0.470, -2.597], [-2.581, -1.756, 6.181], [-0.973, 5.951, 3.404]], "species": ["Ti", "Te", "Te", "Te", "Te", "Te", "Te", "Te", "Te", "Au", "Au"], "fractional_positions": [[0.000, 0.000, 0.000], [0.121, 0.126, 0.586], [0.121, 0.586, 0.126], [0.879, 0.874, 0.414], [0.330, 0.558, 0.558], [0.879, 0.414, 0.874], [0.301, 0.133, 0.133], [0.699, 0.867, 0.867], [0.670, 0.442, 0.442], [0.673, 0.174, 0.174], [0.327, 0.826, 0.826]], "energy_ev_per_atom": -3.657, "dos_ef_per_ev_fu": 5.6, "formation_energy_uncorrected_ev_per_atom": -0.06, "spacegroup": "C2/m"}

4.
{"formula": "TiTe2Au", "functional": "PBE", "state": "relaxed", "lattice_angstrom": [[2.197, 0.000, 8.628], [-1.099, 1.903, 8.628], [-1.099, -1.903, 8.628]], "species": ["Te", "Te", "Au", "Ti"], "fractional_positions": [[0.898, 0.898, 0.898], [0.102, 0.102, 0.102], [0.000, 0.000, 0.000], [0.500, 0.500, 0.500]], "energy_ev_per_atom": -4.757, "dos_ef_per_ev_fu": 2.6, "formation_energy_uncorrected_ev_per_atom": -0.39, "polymorph_energy_ev_per_atom": 0.020, "spacegroup": "R-3m"}

5.
{"formula": "TiTe3Au", "functional": "PBE", "state": "relaxed", "lattice_angstrom": [[4.099, 0.000, 0.000], [0.000, 8.357, 0.527], [-2.050, -1.114, 7.676]], "species": ["Ti", "Ti", "Te", "Te", "Te", "Te", "Te", "Te", "Au", "Au"], "fractional_positions": [[0.789, 0.750, 0.577], [0.211, 0.250, 0.423], [0.968, 0.791, 0.935], [0.032, 0.209, 0.065], [0.333, 0.970, 0.665], [0.667, 0.030, 0.335], [0.177, 0.581, 0.354], [0.823, 0.419, 0.646], [0.557, 0.657, 0.115], [0.443, 0.343, 0.885]], "energy_ev_per_atom": -4.385, "dos_ef_per_ev_fu": 3.9, "formation_energy_uncorrected_ev_per_atom": -0.27, "polymorph_energy_ev_per_atom": 0.000, "spacegroup": "C2/m"}

6.
{"formula": "TiTeAu2", "functional": "PBE", "state": "relaxed", "lattice_angstrom": [[7.833, 0.000, 0.000], [0.000, 7.833, 0.000], [3.917, 3.917, 2.737]], "species": ["Te", "Te", "Au", "Au", "Au", "Au", "Ti", "Ti"], "fractional_positions": [[0.000, 0.000, 0.000], [0.750, 0.250, 0.500], [0.613, 0.125, 0.250], [0.137, 0.625, 0.250], [0.375, 0.387, 0.750], [0.875, 0.863, 0.750], [0.500, 0.500, 0.000], [0.250, 0.750, 0.500]], "energy_ev_per_atom": -4.521, "dos_ef_per_ev_fu": 0.1, "formation_energy_uncorrected_ev_per_atom": -0.12, "spacegroup": "I-42d"}